(1)
LiCdBi | PBE | relaxed

Output
energy relative to the elements	-0.168	eV/atom
crystal system	tetragonal

a b c (Å): 4.058 4.058 5.335
angles (deg): 112.35 112.35 90.00
Sites, in units of the cell vectors:
Cd1 0.957 0.957 0.914
Bi1 0.615 0.615 0.229
Li1 0.279 0.279 0.557


(2)
LiCd14Bi | PBE | relaxed

Output
energy relative to the elements	-0.023	eV/atom
crystal system	orthorhombic

a b c (Å): 6.541 6.541 10.701
angles (deg): 90.00 90.00 125.84
Sites, in units of the cell vectors:
Cd1 0.371 0.629 0.752
Cd2 0.882 0.621 0.245
Cd3 0.890 0.110 0.741
Cd4 0.882 0.621 0.755
Cd5 0.170 0.830 0.000
Cd6 0.371 0.629 0.248
Li1 0.072 0.928 0.500
Cd7 0.069 0.434 0.500
Cd8 0.669 0.834 0.000
Cd9 0.166 0.331 0.000
Cd10 0.890 0.110 0.259
Cd11 0.379 0.118 0.245
Bi1 0.573 0.427 0.500
Cd12 0.670 0.330 0.000
Cd13 0.379 0.118 0.755
Cd14 0.566 0.931 0.500


(3)
LiCd3Bi | PBE | relaxed

Output
energy relative to the elements	0.223	eV/atom
crystal system	cubic

a b c (Å): 4.989 4.989 4.989
angles (deg): 90.00 90.00 90.00
Sites, in units of the cell vectors:
Cd1 0.000 0.000 0.500
Cd2 0.500 0.000 0.000
Bi1 0.500 0.500 0.500
Li1 0.000 0.000 0.000
Cd3 0.000 0.500 0.000


(4)
Li5Cd3Bi4 | PBE | relaxed

Output
energy relative to the elements	-0.251	eV/atom
crystal system	triclinic

a b c (Å): 5.649 7.995 9.573
angles (deg): 82.88 44.26 93.28
Sites, in units of the cell vectors:
Bi1 0.176 0.739 0.129
Cd1 0.000 0.500 0.500
Li1 0.923 0.935 0.731
Bi2 0.824 0.261 0.871
Li2 0.276 0.423 0.953
Li3 0.724 0.577 0.047
Bi3 0.467 0.783 0.687
Li4 0.500 0.500 0.500
Bi4 0.533 0.217 0.313
Cd2 0.518 0.164 0.685
Cd3 0.482 0.836 0.315
Li5 0.077 0.065 0.269